1.
VASP calculation (PBE) on a relaxed structure of Ba3NaAs.

The calculated density is 3.08 g/cm³. The value obtained for the spin magnetization is 0.00 μB per cell. The density of states at the Fermi level is 1.029 states/eV/atom. As for the total energy: -2.835 eV per atom. For the energy of formation, the calculation gives -0.49 eV/atom. The value obtained for the energy above the lowest structure with this stoichiometry is 0.0062 eV per atom.

Lattice parameters (Å, degrees): 6.5021 6.5021 6.5021 90.00 90.00 90.00
Fractional coordinates of all 5 atoms:
Ba 0.0000 0.0000 0.5000
Ba 0.0000 0.5000 0.0000
Ba 0.5000 0.0000 0.0000
Na 0.5000 0.5000 0.5000
As 0.0000 0.0000 0.0000

=====

2.
VASP calculation (PBE) on a relaxed structure of BaNaAs2.

The calculated density is 4.09 g/cm³. The value obtained for the spin magnetization is 0.00 μB per cell. The density of states at the Fermi level is 0.043 states/eV/atom. As for the total energy: -3.597 eV per atom. For the energy of formation, the calculation gives -0.46 eV/atom. The value obtained for the energy above the lowest structure with this stoichiometry is 0.2445 eV per atom.

Lattice parameters (Å, degrees): 5.1455 5.1455 19.0037 90.00 90.00 90.00
Fractional coordinates of all 16 atoms:
Ba 0.0000 0.0000 0.0000
Ba 0.0000 0.5000 0.2500
Ba 0.5000 0.0000 0.7500
Ba 0.5000 0.5000 0.5000
Na 0.0000 0.0000 0.5000
Na 0.0000 0.5000 0.7500
Na 0.5000 0.0000 0.2500
Na 0.5000 0.5000 0.0000
As 0.1121 0.2500 0.6250
As 0.2500 0.6121 0.8750
As 0.2500 0.8879 0.3750
As 0.3879 0.2500 0.1250
As 0.6121 0.7500 0.1250
As 0.7500 0.1121 0.3750
As 0.7500 0.3879 0.8750
As 0.8879 0.7500 0.6250

=====

3.
VASP calculation (PBE) on a relaxed structure of Ba6Na2As.

The calculated density is 3.10 g/cm³. The value obtained for the spin magnetization is 0.60 μB per cell. The density of states at the Fermi level is 1.313 states/eV/atom. As for the total energy: -2.323 eV per atom. For the energy of formation, the calculation gives -0.23 eV/atom.

Lattice parameters (Å, degrees): 8.1712 11.8526 12.5354 90.00 123.41 90.00
Fractional coordinates of all 18 atoms:
Ba 0.1393 0.1419 0.4713
Ba 0.1393 0.3581 0.9713
Ba 0.3036 0.7480 0.9388
Ba 0.3036 0.7520 0.4388
Ba 0.3217 0.0360 0.2001
Ba 0.3217 0.4640 0.7001
Ba 0.6783 0.5360 0.2999
Ba 0.6783 0.9640 0.7999
Ba 0.6964 0.2480 0.5612
Ba 0.6964 0.2520 0.0612
Ba 0.8607 0.6419 0.0287
Ba 0.8607 0.8581 0.5287
Na 0.2059 0.0787 0.8182
Na 0.2059 0.4213 0.3182
Na 0.7941 0.5787 0.6818
Na 0.7941 0.9213 0.1818
As 0.5000 0.0000 0.5000
As 0.5000 0.5000 0.0000

=====

4.
VASP calculation (PBE) on a relaxed structure of Ba3NaAs.

The calculated density is 3.25 g/cm³. The value obtained for the spin magnetization is 0.04 μB per cell. The density of states at the Fermi level is 0.930 states/eV/atom. As for the total energy: -2.841 eV per atom. For the energy of formation, the calculation gives -0.49 eV/atom. The value obtained for the energy above the lowest structure with this stoichiometry is 0.0000 eV per atom.

Lattice parameters (Å, degrees): 8.2010 8.2010 11.1129 108.81 108.81 48.19
Fractional coordinates of all 10 atoms:
Ba 0.0993 0.0993 0.2045
Ba 0.1579 0.1579 0.6590
Ba 0.3629 0.3629 0.0743
Ba 0.6371 0.6371 0.9257
Ba 0.8421 0.8421 0.3410
Ba 0.9007 0.9007 0.7955
Na 0.4047 0.4047 0.5605
Na 0.5953 0.5953 0.4395
As 0.1310 0.1310 0.9306
As 0.8690 0.8690 0.0694

=====

5.
VASP calculation (PBE) on a relaxed structure of BaNa2As2.

The calculated density is 4.33 g/cm³. The value obtained for the spin magnetization is 0.00 μB per cell. The density of states at the Fermi level is 0.465 states/eV/atom. As for the total energy: -3.258 eV per atom. For the energy of formation, the calculation gives -0.49 eV/atom. The value obtained for the energy above the lowest structure with this stoichiometry is 0.1759 eV per atom.

Lattice parameters (Å, degrees): 8.7151 8.7151 3.3675 90.00 90.00 90.00
Fractional coordinates of all 10 atoms:
Ba 0.0000 0.0000 0.0000
Ba 0.5000 0.5000 0.0000
Na 0.1146 0.3854 0.0000
Na 0.3854 0.8854 0.0000
Na 0.6146 0.1146 0.0000
Na 0.8854 0.6146 0.0000
As 0.1825 0.6825 0.5000
As 0.3175 0.1825 0.5000
As 0.6825 0.8175 0.5000
As 0.8175 0.3175 0.5000

=====

6.
VASP calculation (PBE) on a relaxed structure of BaNaAs2.

The calculated density is 4.56 g/cm³. The value obtained for the spin magnetization is 0.00 μB per cell. The density of states at the Fermi level is 0.803 states/eV/atom. As for the total energy: -3.529 eV per atom. For the energy of formation, the calculation gives -0.39 eV/atom. The value obtained for the energy above the lowest structure with this stoichiometry is 0.3117 eV per atom.

Lattice parameters (Å, degrees): 7.6731 7.6731 7.6731 90.00 90.00 90.00
Fractional coordinates of all 16 atoms:
Ba 0.0000 0.0000 0.0000
Ba 0.0000 0.5000 0.5000
Ba 0.5000 0.0000 0.5000
Ba 0.5000 0.5000 0.0000
Na 0.0000 0.0000 0.5000
Na 0.0000 0.5000 0.0000
Na 0.5000 0.0000 0.0000
Na 0.5000 0.5000 0.5000
As 0.2500 0.2500 0.2500
As 0.2500 0.2500 0.7500
As 0.2500 0.7500 0.2500
As 0.2500 0.7500 0.7500
As 0.7500 0.2500 0.2500
As 0.7500 0.2500 0.7500
As 0.7500 0.7500 0.2500
As 0.7500 0.7500 0.7500